Entry 1:
BaTaCu, optimized geometry, DFT PBE-GGA; energy of formation = 126.3 kJ/mol of formula units; final energy = -16.562 eV per formula unit; DOS at the Fermi energy = 5.587 states/eV/cell; excess energy over the best structure of this formula in the dataset = 126 meV/atom; space group = No. 63
1.0
2.3057 -6.3974 0.0000
2.3057 6.3974 0.0000
0.0000 0.0000 5.2279
Ba Ta Cu
2 2 2
Cartesian
2.3057 3.7552 3.9210 Ba
2.3057 -3.7552 1.3070 Ba
2.3057 0.0000 0.0000 Ta
2.3057 0.0000 2.6140 Ta
2.3057 5.7602 1.3070 Cu
2.3057 -5.7602 3.9210 Cu

Entry 2:
Pu4Hg2Au, optimized geometry, DFT PBE-GGA; energy of formation = -33.4 kJ/mol of formula units; final energy = -61.555 eV per formula unit; DOS at the Fermi energy = 26.901 states/eV/cell; space group = No. 139
1.0
-2.3114 2.3114 8.7314
2.3114 -2.3114 8.7314
2.3114 2.3114 -8.7314
Pu Hg Au
4 2 1
Cartesian
2.3114 0.0000 2.0195 Pu
2.3114 0.0000 6.7119 Pu
0.0000 2.3114 2.0195 Pu
0.0000 2.3114 6.7119 Pu
0.0000 0.0000 4.3217 Hg
0.0000 0.0000 13.1411 Hg
0.0000 0.0000 8.7314 Au

Entry 3:
AcTbGa2Pd2, optimized geometry, DFT PBE-GGA; energy of formation = -478.6 kJ/mol of formula units; final energy = -30.139 eV per formula unit; DOS at the Fermi energy = 4.061 states/eV/cell; space group = No. 164
1.0
4.5880 0.0000 0.0000
-2.2940 3.9733 0.0000
0.0000 0.0000 7.3704
Ac Tb Ga Pd
1 1 2 2
Cartesian
0.0000 0.0000 0.0000 Ac
0.0000 0.0000 3.6852 Tb
0.0000 2.6489 2.1677 Ga
2.2940 1.3244 5.2027 Ga
0.0000 2.6489 5.2377 Pd
2.2940 1.3244 2.1327 Pd

Entry 4:
MgBi, optimized geometry, DFT PBE-GGA; energy of formation = 2.8 kJ/mol of formula units; final energy = -5.446 eV per formula unit; DOS at the Fermi energy = 4.189 states/eV/cell; space group = No. 176
1.0
9.9181 0.0000 0.0000
-4.9590 8.5893 0.0000
0.0000 0.0000 4.5154
Mg Bi
6 6
Cartesian
-1.2739 4.3589 1.1289 Mg
-0.5472 7.5130 1.1289 Mg
1.8211 5.3066 1.1289 Mg
3.1380 3.2827 3.3866 Mg
5.5062 1.0762 3.3866 Mg
6.2329 4.2304 3.3866 Mg
-3.4718 6.4296 1.1289 Bi
1.1267 2.3678 1.1289 Bi
2.6140 0.2081 3.3866 Bi
2.3451 8.3812 1.1289 Bi
3.8323 6.2215 3.3866 Bi
8.4308 2.1597 3.3866 Bi

Entry 5:
ThZnCd, optimized geometry, DFT PBE-GGA; energy of formation = 151.1 kJ/mol of formula units; final energy = -8.043 eV per formula unit; DOS at the Fermi energy = 2.662 states/eV/cell; space group = No. 107
1.0
-1.5729 1.5729 8.3113
1.5729 -1.5729 8.3113
1.5729 1.5729 -8.3113
Th Zn Cd
1 1 1
Cartesian
0.0000 0.0000 0.0000 Th
0.0000 0.0000 13.5924 Zn
0.0000 0.0000 3.2611 Cd

Entry 6:
La2Pr12Sc, optimized geometry, DFT PBE-GGA; energy of formation = 450.9 kJ/mol of formula units; final energy = -68.867 eV per formula unit; DOS at the Fermi energy = 44.316 states/eV/cell; space group = No. 125
1.0
6.7166 0.0000 0.0000
0.0000 6.7166 0.0000
0.0000 0.0000 25.1374
La Pr Sc
4 24 2
Cartesian
1.6791 5.0374 6.0568 La
1.6791 5.0374 19.0807 La
5.0374 1.6791 6.0568 La
5.0374 1.6791 19.0807 La
0.3787 3.7369 9.9480 Pr
0.3787 6.3379 15.1894 Pr
0.5534 3.9117 1.5871 Pr
0.5534 6.1632 23.5503 Pr
1.6791 1.6791 4.1591 Pr
1.6791 1.6791 7.3360 Pr
1.6791 1.6791 17.8015 Pr
1.6791 1.6791 20.9783 Pr
2.8049 3.9117 23.5503 Pr
2.8049 6.1632 1.5871 Pr
2.9796 3.7369 15.1894 Pr
2.9796 6.3379 9.9480 Pr
3.7369 0.3787 15.1894 Pr
3.7369 2.9796 9.9480 Pr
3.9117 0.5534 23.5503 Pr
3.9117 2.8049 1.5871 Pr
5.0374 5.0374 4.1591 Pr
5.0374 5.0374 7.3360 Pr
5.0374 5.0374 17.8015 Pr
5.0374 5.0374 20.9783 Pr
6.1632 0.5534 1.5871 Pr
6.1632 2.8049 23.5503 Pr
6.3379 0.3787 9.9480 Pr
6.3379 2.9796 15.1894 Pr
1.6791 5.0374 12.5687 Sc
5.0374 1.6791 12.5687 Sc

Entry 7:
ScSbSeN2, optimized geometry, DFT PBE-GGA; raw formation energy = 12.02 kcal/mol of atoms; final energy = -27.983 eV per formula unit; DOS at the Fermi energy = 3.837 states/eV/cell; space group = No. 123
1.0
4.1526 0.0000 0.0000
0.0000 4.1526 0.0000
0.0000 0.0000 5.4038
Sc Sb Se N
1 1 1 2
Cartesian
0.0000 0.0000 0.0000 Sc
2.0763 2.0763 2.7019 Sb
0.0000 0.0000 2.7019 Se
0.0000 2.0763 0.0000 N
2.0763 0.0000 0.0000 N

Entry 8:
TbGdIr4, optimized geometry, DFT PBE-GGA; energy of formation = -458.6 kJ/mol of formula units; final energy = -58.908 eV per formula unit; DOS at the Fermi energy = 4.555 states/eV/cell; space group = No. 216
1.0
0.0000 3.8011 3.8011
3.8011 0.0000 3.8011
3.8011 3.8011 0.0000
Tb Gd Ir
1 1 4
Cartesian
0.0000 0.0000 0.0000 Tb
1.9005 1.9005 1.9005 Gd
4.7517 2.8504 2.8504 Ir
2.8504 4.7517 2.8504 Ir
2.8504 2.8504 4.7517 Ir
4.7517 4.7517 4.7517 Ir